# 1
The following is a PBE-GGA calculation of a geometry-optimized La8P6Cl structure, from the Alexandria database.

Values from the calculation:
Raw total energy: -6.255 eV/atom
Total magnetization: 0.00 μB per formula unit
Crystal system: trigonal
Theoretical density: 4.7 Mg/m³
ΔE_f (raw): -1.34 eV/atom

Lattice parameters (Å, degrees): 11.169 11.169 4.365 90.00 90.00 120.00
Positions (direct):
La1 0.037 0.364 0.245
La2 0.326 0.963 0.245
La3 0.333 0.667 0.753
La4 0.364 0.326 0.755
La5 0.636 0.674 0.245
La6 0.667 0.333 0.247
La7 0.674 0.037 0.755
La8 0.963 0.636 0.755
P1 0.139 0.662 0.254
P2 0.338 0.478 0.254
P3 0.478 0.139 0.746
P4 0.522 0.861 0.254
P5 0.662 0.522 0.746
P6 0.861 0.338 0.746
Cl1 0.000 0.000 0.000

# 2
The following is a PBE-GGA calculation of a geometry-optimized LaP2Cl structure, from the Alexandria database.

Values from the calculation:
Raw total energy: -5.526 eV/atom
Total magnetization: 0.00 μB per formula unit
Crystal system: monoclinic
Theoretical density: 4.2 Mg/m³
ΔE_f (raw): -1.13 eV/atom

Lattice parameters (Å, degrees): 5.828 5.828 4.778 100.43 100.43 35.53
Positions (direct):
La1 0.000 0.000 0.000
P1 0.261 0.261 0.859
P2 0.739 0.739 0.141
Cl1 0.500 0.500 0.500

# 3
The following is a PBE-GGA calculation of a geometry-optimized LaP2Cl structure, from the Alexandria database.

Values from the calculation:
Raw total energy: -5.450 eV/atom
Total magnetization: 0.00 μB per formula unit
Crystal system: orthorhombic
Theoretical density: 4.7 Mg/m³
ΔE_f (raw): -1.05 eV/atom

Lattice parameters (Å, degrees): 5.369 5.369 5.369 139.76 120.54 74.25
Positions (direct):
La1 0.000 0.000 0.000
P1 0.310 0.810 0.500
P2 0.463 0.463 0.000
Cl1 0.732 0.232 0.500